[1]
Entry from OQMD via LeMat-Bulk: NaZnAsPt after structural relaxation (PBE).

Unit cell a=4.5860 b=4.5860 c=4.5860 alpha=60.00 beta=60.00 gamma=60.00
With the nearest neighbours (Å) after each atom.
Positions (direct):
Pt  0.5000  0.5000  0.5000  4 Na 2.81, 4 As 2.81
Zn  0.0000  0.0000  0.0000  4 As 2.81, 4 Na 2.81
As  0.2500  0.2500  0.2500  4 Zn 2.81, 4 Pt 2.81
Na  0.7500  0.7500  0.7500  4 Pt 2.81, 4 Zn 2.81

Properties
Symmetry = F-43m, No. 216
Excess energy over the best structure of this formula in the dataset = 0.72 eV per formula unit
Magnetic moment = 0.002 μB per formula unit


[2]
Entry from OQMD via LeMat-Bulk: Nb4Pd5Pb5 after structural relaxation (PBE).

Unit cell a=6.3286 b=7.7567 c=7.7567 alpha=80.42 beta=114.08 gamma=114.08
With the nearest neighbours (Å) after each atom.
Positions (direct):
Nb  0.2036  0.7994  0.5996  4 Pd 2.63-2.75
Pb  0.2920  0.1935  0.3651  4 Pd 2.73-2.81
Pd  0.3840  0.8911  0.3224  3 Nb 2.63-2.69, 4 Pb 2.73-2.79
Pb  0.7334  0.8065  0.6349  4 Pd 2.73-2.81
Nb  0.8046  0.2006  0.4004  4 Pd 2.63-2.75
Nb  0.3960  0.5996  0.2006  4 Pd 2.63-2.75
Pd  0.1705  0.1089  0.6776  3 Nb 2.63-2.69, 4 Pb 2.73-2.79
Pd  0.7500  0.5000  0.5000  4 Nb 2.75, 4 Pb 2.81
Nb  0.5958  0.4004  0.7994  4 Pd 2.63-2.75
Pd  0.9384  0.3224  0.1089  3 Nb 2.63-2.69, 4 Pb 2.73-2.79
Pb  0.9015  0.6349  0.1935  4 Pd 2.73-2.81
Pb  0.0731  0.3651  0.8065  4 Pd 2.73-2.81
Pd  0.5071  0.6776  0.8911  3 Nb 2.63-2.69, 4 Pb 2.73-2.79
Pb  0.5000  0.0000  0.0000  4 Pd 2.79

Properties
Symmetry = I-4, No. 82
Magnetic moment = 0.003 μB per formula unit
E_tot = -6.048 eV per atom


[3]
Entry from OQMD via LeMat-Bulk: TmAlCo after structural relaxation (PBE).

Unit cell a=7.0235 b=4.4172 c=6.7088 alpha=90.00 beta=90.00 gamma=90.00
With the nearest neighbours (Å) after each atom.
Positions (direct):
Co  0.3475  0.7500  0.4391  4 Al 2.43-2.51
Co  0.8475  0.7500  0.0609  4 Al 2.43-2.51
Tm  0.9726  0.2500  0.3078  4 Co 2.78-2.90, 5 Al 2.99-3.04
Al  0.3104  0.2500  0.6122  4 Co 2.43-2.51
Tm  0.5274  0.7500  0.8078  4 Co 2.78-2.90, 5 Al 2.99-3.04
Al  0.1896  0.7500  0.1122  4 Co 2.43-2.51
Tm  0.4726  0.2500  0.1922  4 Co 2.78-2.90, 5 Al 2.99-3.04
Al  0.8104  0.2500  0.8878  4 Co 2.43-2.51
Al  0.6896  0.7500  0.3878  4 Co 2.43-2.51
Co  0.1525  0.2500  0.9391  4 Al 2.43-2.51
Co  0.6525  0.2500  0.5609  4 Al 2.43-2.51
Tm  0.0274  0.7500  0.6922  4 Co 2.78-2.90, 5 Al 2.99-3.04

Properties
Symmetry = Pnma, No. 62
Magnetic moment = 0.003 μB per formula unit
E_tot = -5.578 eV per atom


[4]
Entry from OQMD via LeMat-Bulk: PrZnInSe3 after structural relaxation (PBE).

Unit cell a=4.1970 b=7.6283 c=11.3404 alpha=90.00 beta=90.00 gamma=74.03
With the nearest neighbours (Å) after each atom.
Positions (direct):
Se  0.9308  0.1385  0.2500  2 Zn 2.59
Se  0.6332  0.7336  0.4269  1 Zn 2.47
Se  0.3668  0.2664  0.9269  1 Zn 2.47
Zn  0.4652  0.0695  0.7500  4 Se 2.47-2.59
Pr  0.0000  0.0000  0.5000  6 Se 2.98-3.01
Zn  0.5348  0.9305  0.2500  4 Se 2.47-2.59
Pr  0.0000  0.0000  0.0000  6 Se 2.98-3.01
In  0.7541  0.4918  0.7500  6 Se 3.34-3.43, 2 Zn 3.74
In  0.2459  0.5082  0.2500  6 Se 3.34-3.43, 2 Zn 3.74
Se  0.0692  0.8615  0.7500  2 Zn 2.59
Se  0.3668  0.2664  0.5731  1 Zn 2.47
Se  0.6332  0.7336  0.0731  1 Zn 2.47

Properties
Symmetry = Cmcm, No. 63
Excess energy over the best structure of this formula in the dataset = 0.00 eV per formula unit
Magnetic moment = 0.000 μB per formula unit


[5]
Entry from OQMD via LeMat-Bulk: Li15Au4 after structural relaxation (PBE).

Unit cell a=9.1822 b=9.1822 c=9.1822 alpha=109.47 beta=109.47 gamma=109.47
With the nearest neighbours (Å) after each atom.
Positions (direct):
Au  0.5000  0.0000  0.4130  12 Li 2.64-2.86
Li  0.1214  0.5421  0.3455  3 Au 2.64-2.80, 7 Li 2.69-2.93
Li  0.6966  0.1545  0.2759  3 Au 2.64-2.80, 7 Li 2.69-2.93
Au  0.0000  0.4130  0.0000  12 Li 2.64-2.86
Au  0.5000  0.0000  0.9130  12 Li 2.64-2.86
Li  0.0792  0.3034  0.4579  3 Au 2.64-2.80, 7 Li 2.69-2.93
Li  0.6250  0.7500  0.8750  8 Li 2.72-2.81, 4 Au 2.86
Li  0.5421  0.8455  0.6214  3 Au 2.64-2.80, 7 Li 2.69-2.93
Li  0.7759  0.6966  0.6545  3 Au 2.64-2.80, 7 Li 2.69-2.93
Li  0.2500  0.1250  0.3750  8 Li 2.72-2.81, 4 Au 2.86
Au  0.5870  0.5870  0.0870  12 Li 2.64-2.86
Li  0.4208  0.3786  0.7241  3 Au 2.64-2.80, 7 Li 2.69-2.93
Li  0.3034  0.9579  0.5792  3 Au 2.64-2.80, 7 Li 2.69-2.93
Au  0.9130  0.5000  0.5000  12 Li 2.64-2.86
Li  0.2759  0.6545  0.6966  3 Au 2.64-2.80, 7 Li 2.69-2.93
Li  0.9208  0.7241  0.3786  3 Au 2.64-2.80, 7 Li 2.69-2.93
Li  0.7241  0.8786  0.4208  3 Au 2.64-2.80, 7 Li 2.69-2.93
Li  0.3750  0.6250  0.2500  8 Li 2.72-2.81, 4 Au 2.86
Li  0.8455  0.1214  0.0421  3 Au 2.64-2.80, 7 Li 2.69-2.93
Li  0.8786  0.9208  0.2241  3 Au 2.64-2.80, 7 Li 2.69-2.93
Au  0.4130  0.5000  0.5000  12 Li 2.64-2.86
Li  0.7500  0.3750  0.1250  8 Li 2.72-2.81, 4 Au 2.86
Au  0.0000  0.9130  0.0000  12 Li 2.64-2.86
Li  0.3455  0.0421  0.1214  3 Au 2.64-2.80, 7 Li 2.69-2.93
Li  0.1545  0.7759  0.1966  3 Au 2.64-2.80, 7 Li 2.69-2.93
Au  0.0870  0.0870  0.5870  12 Li 2.64-2.86
Li  0.1250  0.8750  0.7500  8 Li 2.72-2.81, 4 Au 2.86
Li  0.6545  0.1966  0.7759  3 Au 2.64-2.80, 7 Li 2.69-2.93
Li  0.0421  0.6214  0.8455  3 Au 2.64-2.80, 7 Li 2.69-2.93
Li  0.2241  0.4208  0.8786  3 Au 2.64-2.80, 7 Li 2.69-2.93
Li  0.8750  0.2500  0.6250  8 Li 2.72-2.81, 4 Au 2.86
Li  0.4579  0.8034  0.0792  3 Au 2.64-2.80, 7 Li 2.69-2.93
Li  0.5792  0.4579  0.3034  3 Au 2.64-2.80, 7 Li 2.69-2.93
Li  0.8034  0.5792  0.9579  3 Au 2.64-2.80, 7 Li 2.69-2.93
Li  0.1966  0.2759  0.1545  3 Au 2.64-2.80, 7 Li 2.69-2.93
Li  0.3786  0.2241  0.9208  3 Au 2.64-2.80, 7 Li 2.69-2.93
Li  0.6214  0.3455  0.5421  3 Au 2.64-2.80, 7 Li 2.69-2.93
Li  0.9579  0.0792  0.8034  3 Au 2.64-2.80, 7 Li 2.69-2.93

Properties
Symmetry = I-43d, No. 220
E_tot = -2.542 eV per atom


[6]
Entry from OQMD via LeMat-Bulk: Y3Fe2Co7 after structural relaxation (PBE).

Unit cell a=8.4320 b=8.4320 c=8.4320 alpha=34.81 beta=34.81 gamma=34.81
With the nearest neighbours (Å) after each atom.
Positions (direct):
Co  0.5000  0.5000  0.5000  6 Co 2.49
Co  0.0802  0.5823  0.5823  2 Fe 2.42, 5 Co 2.49-2.53
Y  0.0000  0.0000  0.0000  6 Fe 2.91, 12 Co 3.18
Fe  0.3336  0.3336  0.3336  6 Co 2.42
Co  0.5823  0.5823  0.0802  2 Fe 2.42, 5 Co 2.49-2.53
Y  0.1408  0.1408  0.1408  12 Co 2.89-3.01, 3 Y 3.16
Y  0.8592  0.8592  0.8592  12 Co 2.89-3.01, 3 Y 3.16
Co  0.4177  0.9198  0.4177  2 Fe 2.42, 5 Co 2.49-2.53
Fe  0.6664  0.6664  0.6664  6 Co 2.42
Co  0.9198  0.4177  0.4177  2 Fe 2.42, 5 Co 2.49-2.53
Co  0.4177  0.4177  0.9198  2 Fe 2.42, 5 Co 2.49-2.53
Co  0.5823  0.0802  0.5823  2 Fe 2.42, 5 Co 2.49-2.53

Properties
Symmetry = R-3m, No. 166
Magnetic moment = 12.369 μB per formula unit
Formation energy from the elements = -0.164 eV/atom


[7]
Entry from OQMD via LeMat-Bulk: DyNbB4 after structural relaxation (PBE).

Unit cell a=3.1545 b=3.1545 c=7.2741 alpha=90.00 beta=90.00 gamma=120.00
With the nearest neighbours (Å) after each atom.
Positions (direct):
Dy  0.0000  0.0000  0.0000  12 B 2.68
B  0.6667  0.3333  0.7297  3 B 1.82
B  0.3333  0.6667  0.7297  3 B 1.82
B  0.3333  0.6667  0.2703  3 B 1.82
Nb  0.0000  0.0000  0.5000  12 B 2.47
B  0.6667  0.3333  0.2703  3 B 1.82

Properties
Symmetry = P6/mmm, No. 191
Magnetic moment = 0.003 μB per formula unit
E_tot = -7.644 eV per atom


[8]
Entry from OQMD via LeMat-Bulk: TaPSe4 after structural relaxation (PBE).

Unit cell a=3.4137 b=3.4137 c=13.7250 alpha=90.00 beta=90.00 gamma=120.00
With the nearest neighbours (Å) after each atom.
Positions (direct):
P  0.0000  0.0000  0.0000  6 Se 2.60
Se  0.3333  0.6667  0.8759  3 P 2.60
Ta  0.3333  0.6667  0.5000  6 Se 2.60
Se  0.0000  0.0000  0.3761  3 Ta 2.60
Se  0.0000  0.0000  0.6239  3 Ta 2.60
Se  0.3333  0.6667  0.1241  3 P 2.60

Properties
Symmetry = P-6m2, No. 187
Excess energy over the best structure of this formula in the dataset = 0.00 eV per formula unit
Magnetic moment = 0.028 μB per formula unit


[9]
Entry from OQMD via LeMat-Bulk: K2RePN4 after structural relaxation (PBE).

Unit cell a=5.5366 b=5.5366 c=5.5366 alpha=119.15 beta=119.15 gamma=91.48
With the nearest neighbours (Å) after each atom.
Positions (direct):
N  0.1126  0.7909  0.1373  1 P 1.66
K  0.7500  0.2500  0.5000  4 N 2.82
K  0.5000  0.5000  0.0000  4 N 2.89
Re  0.2500  0.7500  0.5000  4 N 1.90
P  0.0000  0.0000  0.0000  4 N 1.66
N  0.2091  0.3464  0.3216  1 P 1.66
N  0.0248  0.8874  0.6784  1 P 1.66
N  0.6536  0.9752  0.8627  1 P 1.66

Properties
Symmetry = I-4, No. 82
Magnetic moment = 0.524 μB per formula unit
E_tot = -6.865 eV per atom


[10]
Entry from OQMD via LeMat-Bulk: Te2IrW after structural relaxation (PBE).

Unit cell a=4.8239 b=4.8239 c=4.8239 alpha=60.00 beta=60.00 gamma=60.00
With the nearest neighbours (Å) after each atom.
Positions (direct):
Te  0.0000  0.0000  0.0000  4 W 2.95, 4 Te 2.95
Te  0.2500  0.2500  0.2500  4 Ir 2.95, 4 Te 2.95
W  0.7500  0.7500  0.7500  4 Te 2.95, 4 Ir 2.95
Ir  0.5000  0.5000  0.5000  4 W 2.95, 4 Te 2.95

Properties
Symmetry = F-43m, No. 216
Magnetic moment = 0.115 μB per formula unit
E_tot = -5.996 eV per atom


[11]
Entry from OQMD via LeMat-Bulk: ReAg after structural relaxation (PBE).

Unit cell a=3.7505 b=3.7505 c=3.7505 alpha=60.00 beta=60.00 gamma=60.00
With the nearest neighbours (Å) after each atom.
Positions (direct):
Re  0.5000  0.5000  0.5000  6 Ag 2.65
Ag  0.0000  0.0000  0.0000  6 Re 2.65

Properties
Symmetry = Fm-3m, No. 225
Excess energy over the best structure of this formula in the dataset = 3.18 eV per formula unit
Magnetic moment = 1.649 μB per formula unit
Formation energy from the elements = 2.244 eV/atom


[12]
Entry from OQMD via LeMat-Bulk: GdInGaTe3 after structural relaxation (PBE).

Unit cell a=7.6421 b=7.6421 c=11.5288 alpha=90.00 beta=90.00 gamma=143.71
With the nearest neighbours (Å) after each atom.
Positions (direct):
Te  0.3632  0.6368  0.9379  1 Ga 2.77
Te  0.0827  0.9173  0.7500  2 Ga 2.79, 2 Gd 3.12
Te  0.9173  0.0827  0.2500  2 Ga 2.79, 2 Gd 3.12
Gd  0.0000  0.0000  0.5000  6 Te 3.12-3.18
In  0.7568  0.2432  0.7500  6 Te 3.47-3.57
In  0.2432  0.7568  0.2500  6 Te 3.47-3.57
Te  0.6368  0.3632  0.4379  1 Ga 2.77
Te  0.3632  0.6368  0.5621  1 Ga 2.77
Ga  0.5179  0.4821  0.2500  4 Te 2.77-2.79
Gd  0.0000  0.0000  0.0000  6 Te 3.12-3.18
Ga  0.4821  0.5179  0.7500  4 Te 2.77-2.79
Te  0.6368  0.3632  0.0621  1 Ga 2.77

Properties
Symmetry = Cmcm, No. 63
Magnetic moment = 0.014 μB per formula unit
E_tot = -3.959 eV per atom